Entry 1:
! SiAg2SnC | the Alexandria database | GGA-PBEsol | relaxed; values from VASP
! **ΔE_f (raw)**: 0.766 eV per atom
&SYSTEM
  ibrav = 0, nat = 5, ntyp = 4
/
ATOMIC_SPECIES
Ag 107.87 Ag.upf
C 12.01 C.upf
Si 28.09 Si.upf
Sn 118.71 Sn.upf
CELL_PARAMETERS angstrom
3.3974 0.0000 0.0000
0.0000 5.0029 0.0000
0.0000 0.0000 5.0029
ATOMIC_POSITIONS crystal
Ag 0.0000 0.0000 0.5000
Ag 0.0000 0.5000 0.0000
C 0.0000 0.0000 0.0000
Si 0.5000 0.0000 0.0000
Sn 0.5000 0.5000 0.5000

***

Entry 2:
! AgSn3C | the Alexandria database | GGA-PBEsol | relaxed; values from VASP
! **DFT formation energy**: 1751.9 meV/atom
&SYSTEM
  ibrav = 0, nat = 5, ntyp = 3
/
ATOMIC_SPECIES
Ag 107.87 Ag.upf
C 12.01 C.upf
Sn 118.71 Sn.upf
CELL_PARAMETERS angstrom
5.2006 0.0000 0.0000
0.0000 5.2006 0.0000
0.0000 0.0000 5.2006
ATOMIC_POSITIONS crystal
Ag 0.0000 0.0000 0.0000
C 0.5000 0.5000 0.5000
Sn 0.5000 0.0000 0.0000
Sn 0.0000 0.0000 0.5000
Sn 0.0000 0.5000 0.0000

***

Entry 3:
! TaAgC2 | the Alexandria database | GGA-PBEsol | relaxed; values from VASP
! **DFT formation energy**: 1353.9 meV/atom
&SYSTEM
  ibrav = 0, nat = 4, ntyp = 3
/
ATOMIC_SPECIES
Ag 107.87 Ag.upf
Ta 180.95 Ta.upf
C 12.01 C.upf
CELL_PARAMETERS angstrom
-2.7156 -1.8121 2.2141
1.0210 -1.5961 3.4599
-1.2187 1.6499 3.3695
ATOMIC_POSITIONS crystal
Ag 0.0000 0.0000 0.0000
Ta 0.5000 0.5000 0.5000
C 0.7500 0.7500 0.7500
C 0.2500 0.2500 0.2500

***

Entry 4:
! AgTeC3 | the Alexandria database | GGA-PBEsol | relaxed; values from VASP
! **ΔE_f (raw)**: 3.039 eV per atom
&SYSTEM
  ibrav = 0, nat = 5, ntyp = 3
/
ATOMIC_SPECIES
C 12.01 C.upf
Te 127.60 Te.upf
Ag 107.87 Ag.upf
CELL_PARAMETERS angstrom
4.1423 0.0000 0.0000
0.0000 4.1423 0.0000
0.0000 0.0000 4.1423
ATOMIC_POSITIONS crystal
C 0.0000 0.5000 0.0000
C 0.5000 0.0000 0.0000
C 0.0000 0.0000 0.5000
Te 0.5000 0.5000 0.5000
Ag 0.0000 0.0000 0.0000

***

Calculated density of states at the Fermi level, 1.8; 2.8; 1.4; 2.9 states/eV/cell (same order as the records).